# HfZrCoBi

A relaxed structure of HfZrCoBi (GGA-PBE, OQMD).

Geometry as CIF:
```
data_HfZrCoBi
_chemical_formula_sum 'Hf1 Zr1 Co1 Bi1'
_cell_length_a 4.843
_cell_length_b 4.843
_cell_length_c 4.843
_cell_angle_alpha 60.00
_cell_angle_beta 60.00
_cell_angle_gamma 60.00
_space_group_name_H-M_alt 'P 1'
_space_group_IT_number 1
loop_
_space_group_symop_operation_xyz
'x,y,z'
loop_
_atom_site_label
_atom_site_fract_x
_atom_site_fract_y
_atom_site_fract_z
Hf1 0.000 0.000 0.000
Zr1 0.250 0.250 0.250
Co1 0.750 0.750 0.750
Bi1 0.500 0.500 0.500
```

Properties
Energy relative to the lowest polymorph listed for this composition in meV per atom: 0


# HfZrCo2Bi2

A relaxed structure of HfZrCo2Bi2 (GGA-PBE, OQMD).

Geometry as CIF:
```
data_HfZrCo2Bi2
_chemical_formula_sum 'Hf4 Zr4 Co8 Bi8'
_cell_length_a 9.107
_cell_length_b 4.553
_cell_length_c 13.658
_cell_angle_alpha 90.00
_cell_angle_beta 109.47
_cell_angle_gamma 90.00
_space_group_name_H-M_alt 'P 1'
_space_group_IT_number 1
loop_
_space_group_symop_operation_xyz
'x,y,z'
loop_
_atom_site_label
_atom_site_fract_x
_atom_site_fract_y
_atom_site_fract_z
Hf1 0.000 0.000 0.000
Hf2 0.125 0.500 0.750
Hf3 0.250 0.000 0.500
Hf4 0.750 0.000 0.500
Zr1 0.375 0.500 0.250
Zr2 0.500 0.000 0.000
Zr3 0.625 0.500 0.750
Zr4 0.875 0.500 0.250
Co1 0.000 0.500 0.500
Co2 0.125 0.000 0.250
Co3 0.249 0.500 0.999
Co4 0.374 0.000 0.749
Co5 0.500 0.500 0.500
Co6 0.625 0.000 0.250
Co7 0.751 0.500 0.000
Co8 0.876 0.000 0.750
Bi1 0.062 0.500 0.124
Bi2 0.187 0.000 0.875
Bi3 0.312 0.500 0.625
Bi4 0.438 0.000 0.376
Bi5 0.562 0.500 0.125
Bi6 0.688 0.000 0.875
Bi7 0.813 0.500 0.625
Bi8 0.938 0.000 0.376
```

Properties
Final energy in eV per atom: -6.257


# CoHgBi

A relaxed structure of CoHgBi (GGA-PBE, OQMD).

Geometry as CIF:
```
data_CoHgBi
_chemical_formula_sum 'Co1 Hg1 Bi1'
_cell_length_a 4.515
_cell_length_b 4.515
_cell_length_c 4.515
_cell_angle_alpha 60.00
_cell_angle_beta 60.00
_cell_angle_gamma 60.00
_space_group_name_H-M_alt 'P 1'
_space_group_IT_number 1
loop_
_space_group_symop_operation_xyz
'x,y,z'
loop_
_atom_site_label
_atom_site_fract_x
_atom_site_fract_y
_atom_site_fract_z
Co1 0.000 0.000 0.000
Hg1 0.250 0.250 0.250
Bi1 0.750 0.750 0.750
```

Properties
Energy relative to the lowest polymorph listed for this composition in meV per atom: 0


# CoHg2Bi

A relaxed structure of CoHg2Bi (GGA-PBE, OQMD).

Geometry as CIF:
```
data_CoHg2Bi
_chemical_formula_sum 'Co1 Hg2 Bi1'
_cell_length_a 5.022
_cell_length_b 5.022
_cell_length_c 5.022
_cell_angle_alpha 60.00
_cell_angle_beta 60.00
_cell_angle_gamma 60.00
_space_group_name_H-M_alt 'P 1'
_space_group_IT_number 1
loop_
_space_group_symop_operation_xyz
'x,y,z'
loop_
_atom_site_label
_atom_site_fract_x
_atom_site_fract_y
_atom_site_fract_z
Co1 0.000 0.000 0.000
Hg1 0.250 0.250 0.250
Hg2 0.500 0.500 0.500
Bi1 0.750 0.750 0.750
```

Properties
Final energy in eV per atom: -2.326